12
Lattice="-5.0501 -3.4223 -0.7031 0.8634 -2.4741 5.8403 -1.3186 7.4846 -0.1424" Properties=species:S:1:pos:R:3 comment="ZrSc3Co2 | the Alexandria database | PBE-GGA | optimized geometry" dft_energy_ev_per_cell=-84.24 formation_energy_mev_per_atom=-61 crystal_system=orthorhombic pbc="T T T"
Zr 0.4317 -1.2370 2.9201
Zr 0.0000 0.0000 0.0000
Sc -2.3092 -2.3296 1.1085
Sc -1.8775 -3.5667 4.0286
Sc -4.5379 1.2967 -0.5338
Sc -1.3991 1.5287 2.6084
Sc -0.9674 0.2917 5.5286
Sc -4.1062 0.0596 2.3863
Co -3.5880 2.5486 1.6101
Co -4.5630 -1.2235 0.1563
Co -0.9424 2.8118 4.8385
Co -1.9173 -0.9603 3.3847